# NaLi2PaF8

NaLi2PaF8 after structural relaxation (PBE, the Alexandria database).

Cell and atoms, written as extended XYZ:
```
12
Lattice="4.878 0.000 0.000 2.439 4.225 0.000 2.439 1.408 7.879" Properties=species:S:1:pos:R:3 pbc="T T T"
Na 0.000 0.000 0.000
Li 7.318 4.225 6.477
Li 2.439 1.408 1.401
Pa 4.878 2.817 3.939
F 4.878 2.817 0.350
F 4.878 2.817 7.529
F 4.010 1.374 2.638
F 6.562 2.847 5.241
F 4.010 4.259 5.241
F 4.063 4.290 2.638
F 6.562 2.786 2.638
F 4.063 1.344 5.241
```

Energy (eV per cell): -67.31